Below is a relaxed structure of AcErO3, with properties calculated at the PBE-GGA level.

## Properties
**Mass density**: 9.70 g/cm3
**Energy**: -0.5936 Ry/atom
**Total magnetic moment**: 0.0 μB/f.u.
**Raw formation energy**: -3.367 eV/atom

a b c (Å): 3.570 5.737 7.396
angles (deg): 90.00 90.00 90.00
Positions (direct):
1 Ac 0.250 0.250 0.144
2 Ac 0.750 0.750 0.856
3 Er 0.250 0.750 0.402
4 Er 0.750 0.250 0.598
5 O 0.250 0.509 0.651
6 O 0.250 0.750 0.078
7 O 0.250 0.991 0.651
8 O 0.750 0.009 0.349
9 O 0.750 0.250 0.922
10 O 0.750 0.491 0.349